1.
Here is an optimized crystal structure of LaMo2Br from the Alexandria database. Energies are from PBE.

E_tot   -6.205 eV per atom
Formation energy (no corrections)   3.44 eV per formula unit

Cell lengths 3.8450, 3.8450, 6.0246 Å; angles 90.00, 90.00, 90.00 degrees
Element x y z (fractional)
1 Mo 0.0000 0.0000 0.0620
2 Mo 0.0000 0.0000 0.4380
3 Br 0.5000 0.5000 0.2500
4 La 0.5000 0.5000 0.7500

---

2.
Here is an optimized crystal structure of BaTc2AsN2 from the Alexandria database. Energies are from PBE.

E_tot   -7.719 eV per atom
Formation energy (no corrections)   -2.36 eV per formula unit

Cell lengths 5.2684, 6.7522, 7.6417 Å; angles 111.13, 90.00, 90.00 degrees
Element x y z (fractional)
1 Ba 0.7500 0.3192 0.6653
2 Ba 0.2500 0.6808 0.3347
3 Tc 0.4996 0.1327 0.1905
4 Tc 0.0004 0.1327 0.1905
5 Tc 0.9996 0.8673 0.8095
6 Tc 0.5004 0.8673 0.8095
7 As 0.2500 0.2131 0.9403
8 As 0.7500 0.7869 0.0597
9 N 0.2500 0.0885 0.3546
10 N 0.2500 0.6511 0.7074
11 N 0.7500 0.9115 0.6454
12 N 0.7500 0.3489 0.2926

---

3.
Here is an optimized crystal structure of NpP2Pd from the Alexandria database. Energies are from PBE.

E_tot   -7.745 eV per atom

Cell lengths 3.0109, 4.8206, 4.8206 Å; angles 90.00, 90.00, 90.00 degrees
Each line ends with the local moment (μB).
Element x y z (fractional)
1 Np 0.0000 0.9449 0.0551  3.23
2 P 0.5000 0.9451 0.5551  -0.08
3 P 0.5000 0.4449 0.0549  -0.08
4 Pd 0.5000 0.4451 0.5549  -0.06

---

4.
Here is an optimized crystal structure of PrBiPd2 from the Alexandria database. Energies are from PBE.

E_tot   -5.453 eV per atom

Cell lengths 5.0147, 5.0147, 5.0147 Å; angles 60.00, 60.00, 60.00 degrees
Element x y z (fractional)
1 Pr 0.5000 0.5000 0.5000
2 Bi 0.0000 0.0000 0.0000
3 Pd 0.2500 0.2500 0.2500
4 Pd 0.7500 0.7500 0.7500